A PBEsol-optimized structure of Te4Pb5Se. Source: the Alexandria database, functional meta-GGA SCAN.

a = 4.505 Å, b = 4.505 Å, c = 16.215 Å
α = 97.98°, β = 97.98°, γ = 90.00°
Fractional positions:
Te 0.100 0.100 0.200
Te 0.698 0.698 0.396
Te 0.302 0.302 0.604
Te 0.900 0.900 0.800
Pb 0.799 0.799 0.598
Pb 0.596 0.596 0.191
Pb 0.201 0.201 0.402
Pb 0.404 0.404 0.809
Pb 0.000 0.000 0.000
Se 0.500 0.500 0.000

Results
As for the total energy: -55.2055 eV per atom. As for the crystal system: tetragonal. The space-group type is I4/mmm, No. 139. The value obtained for the uncorrected formation energy is -407 meV per atom.